Pr6In2N | GGA-PBE | relaxed

Computed properties:
electronic total energy	-47.3	eV for the cell shown
energy relative to the elements, uncorrected	-0.54	eV/atom
symmetry	Fm-3m

Structure (CIF):
```
data_Pr6In2N
_symmetry_space_group_name_H-M 'P 1'
_symmetry_Int_Tables_number 1
_symmetry_space_group_name_Hall 'P 1'
_cell_length_a 7.210
_cell_length_b 7.210
_cell_length_c 7.210
_cell_angle_alpha 60.00
_cell_angle_beta 60.00
_cell_angle_gamma 60.00
loop_
_atom_site_label
_atom_site_fract_x
_atom_site_fract_y
_atom_site_fract_z
_atom_site_occupancy
Pr1 0.244 0.244 0.756 1
Pr2 0.244 0.756 0.244 1
Pr3 0.244 0.756 0.756 1
Pr4 0.756 0.244 0.244 1
Pr5 0.756 0.244 0.756 1
Pr6 0.756 0.756 0.244 1
In1 0.250 0.250 0.250 1
In2 0.750 0.750 0.750 1
N1 0.000 0.000 0.000 1
```

Sr2TmSi3Au12 | GGA-PBE | relaxed

Computed properties:
electronic total energy	-67.1	eV for the cell shown
energy relative to the elements, uncorrected	-0.20	eV/atom
symmetry	R-3m

Structure (CIF):
```
data_Sr2TmSi3Au12
_symmetry_space_group_name_H-M 'P 1'
_symmetry_Int_Tables_number 1
_symmetry_space_group_name_Hall 'P 1'
_cell_length_a 8.194
_cell_length_b 8.194
_cell_length_c 8.194
_cell_angle_alpha 66.06
_cell_angle_beta 66.06
_cell_angle_gamma 66.06
loop_
_atom_site_label
_atom_site_fract_x
_atom_site_fract_y
_atom_site_fract_z
_atom_site_occupancy
Sr1 0.099 0.099 0.099 1
Sr2 0.901 0.901 0.901 1
Tm1 0.500 0.500 0.500 1
Si1 0.000 0.500 0.500 1
Si2 0.500 0.000 0.500 1
Si3 0.500 0.500 0.000 1
Au1 0.111 0.638 0.638 1
Au2 0.186 0.186 0.636 1
Au3 0.186 0.636 0.186 1
Au4 0.362 0.362 0.889 1
Au5 0.362 0.889 0.362 1
Au6 0.364 0.814 0.814 1
Au7 0.636 0.186 0.186 1
Au8 0.638 0.111 0.638 1
Au9 0.638 0.638 0.111 1
Au10 0.814 0.364 0.814 1
Au11 0.814 0.814 0.364 1
Au12 0.889 0.362 0.362 1
```

Na2CuAuO4 | GGA-PBE | relaxed

Computed properties:
electronic total energy	-33.1	eV for the cell shown
energy relative to the elements, uncorrected	-0.41	eV/atom
symmetry	I-42m

Structure (CIF):
```
data_Na2CuAuO4
_symmetry_space_group_name_H-M 'P 1'
_symmetry_Int_Tables_number 1
_symmetry_space_group_name_Hall 'P 1'
_cell_length_a 5.179
_cell_length_b 5.179
_cell_length_c 5.179
_cell_angle_alpha 109.29
_cell_angle_beta 109.29
_cell_angle_gamma 109.84
loop_
_atom_site_label
_atom_site_fract_x
_atom_site_fract_y
_atom_site_fract_z
_atom_site_occupancy
Na1 0.000 0.500 0.500 1
Na2 0.500 0.000 0.500 1
Cu1 0.000 0.000 0.000 1
Au1 0.500 0.500 0.000 1
O1 0.054 0.054 0.673 1
O2 0.381 0.381 0.327 1
O3 0.619 0.946 0.000 1
O4 0.946 0.619 0.000 1
```

InCBr | GGA-PBE | relaxed

Computed properties:
electronic total energy	-26.5	eV for the cell shown
energy relative to the elements, uncorrected	0.13	eV/atom
symmetry	Pm

Structure (CIF):
```
data_InCBr
_symmetry_space_group_name_H-M 'P 1'
_symmetry_Int_Tables_number 1
_symmetry_space_group_name_Hall 'P 1'
_cell_length_a 6.173
_cell_length_b 5.223
_cell_length_c 6.467
_cell_angle_alpha 90.00
_cell_angle_beta 100.29
_cell_angle_gamma 90.00
loop_
_atom_site_label
_atom_site_fract_x
_atom_site_fract_y
_atom_site_fract_z
_atom_site_occupancy
In1 0.000 0.000 0.000 1
In2 0.319 0.500 0.653 1
C1 0.389 0.118 0.750 1
C2 0.389 0.882 0.750 1
Br1 0.301 0.500 0.248 1
Br2 0.891 0.500 0.681 1
```

Ba2SnHg10 | GGA-PBE | relaxed

Computed properties:
electronic total energy	-26.5	eV for the cell shown
E_form	-0.183	eV/atom
symmetry	Pbam

Structure (CIF):
```
data_Ba2SnHg10
_symmetry_space_group_name_H-M 'P 1'
_symmetry_Int_Tables_number 1
_symmetry_space_group_name_Hall 'P 1'
_cell_length_a 10.660
_cell_length_b 13.229
_cell_length_c 6.211
_cell_angle_alpha 90.00
_cell_angle_beta 90.00
_cell_angle_gamma 90.00
loop_
_atom_site_label
_atom_site_fract_x
_atom_site_fract_y
_atom_site_fract_z
_atom_site_occupancy
Ba1 0.199 0.079 0.000 1
Ba2 0.301 0.579 0.000 1
Ba3 0.699 0.421 0.000 1
Ba4 0.801 0.921 0.000 1
Sn1 0.000 0.000 0.500 1
Sn2 0.500 0.500 0.500 1
Hg1 0.051 0.619 0.500 1
Hg2 0.105 0.806 0.229 1
Hg3 0.105 0.806 0.771 1
Hg4 0.158 0.211 0.500 1
Hg5 0.216 0.442 0.500 1
Hg6 0.284 0.942 0.500 1
Hg7 0.342 0.711 0.500 1
Hg8 0.395 0.306 0.229 1
Hg9 0.395 0.306 0.771 1
Hg10 0.449 0.119 0.500 1
Hg11 0.551 0.881 0.500 1
Hg12 0.605 0.694 0.229 1
Hg13 0.605 0.694 0.771 1
Hg14 0.658 0.289 0.500 1
Hg15 0.716 0.058 0.500 1
Hg16 0.784 0.558 0.500 1
Hg17 0.842 0.789 0.500 1
Hg18 0.895 0.194 0.229 1
Hg19 0.895 0.194 0.771 1
Hg20 0.949 0.381 0.500 1
```

TiSiRu2S | GGA-PBE | relaxed

Computed properties:
electronic total energy	-35.0	eV for the cell shown
energy relative to the elements, uncorrected	0.20	eV/atom
symmetry	P4/mmm

Structure (CIF):
```
data_TiSiRu2S
_symmetry_space_group_name_H-M 'P 1'
_symmetry_Int_Tables_number 1
_symmetry_space_group_name_Hall 'P 1'
_cell_length_a 4.302
_cell_length_b 4.302
_cell_length_c 4.439
_cell_angle_alpha 90.00
_cell_angle_beta 90.00
_cell_angle_gamma 90.00
loop_
_atom_site_label
_atom_site_fract_x
_atom_site_fract_y
_atom_site_fract_z
_atom_site_occupancy
Ti1 0.000 0.000 0.000 1
Si1 0.500 0.500 0.000 1
Ru1 0.000 0.500 0.500 1
Ru2 0.500 0.000 0.500 1
S1 0.000 0.000 0.500 1
```

SiAgAu4 | GGA-PBE | relaxed

Computed properties:
electronic total energy	-85.2	eV for the cell shown
energy relative to the elements, uncorrected	0.01	eV/atom
symmetry	P2_1/c

Structure (CIF):
```
data_SiAgAu4
_symmetry_space_group_name_H-M 'P 1'
_symmetry_Int_Tables_number 1
_symmetry_space_group_name_Hall 'P 1'
_cell_length_a 6.353
_cell_length_b 7.361
_cell_length_c 9.886
_cell_angle_alpha 90.00
_cell_angle_beta 109.19
_cell_angle_gamma 90.00
loop_
_atom_site_label
_atom_site_fract_x
_atom_site_fract_y
_atom_site_fract_z
_atom_site_occupancy
Si1 0.177 0.241 0.262 1
Si2 0.177 0.259 0.762 1
Si3 0.823 0.741 0.238 1
Si4 0.823 0.759 0.738 1
Ag1 0.163 0.645 0.115 1
Ag2 0.163 0.855 0.615 1
Ag3 0.837 0.145 0.385 1
Ag4 0.837 0.355 0.885 1
Au1 0.130 0.554 0.413 1
Au2 0.130 0.946 0.913 1
Au3 0.211 0.585 0.843 1
Au4 0.211 0.915 0.343 1
Au5 0.320 0.213 0.546 1
Au6 0.320 0.287 0.046 1
Au7 0.493 0.560 0.669 1
Au8 0.493 0.940 0.169 1
Au9 0.507 0.060 0.831 1
Au10 0.507 0.440 0.331 1
Au11 0.680 0.713 0.954 1
Au12 0.680 0.787 0.454 1
Au13 0.789 0.085 0.657 1
Au14 0.789 0.415 0.157 1
Au15 0.870 0.054 0.087 1
Au16 0.870 0.446 0.587 1
```

Dy2Ga4NiPd3 | GGA-PBE | relaxed

Computed properties:
electronic total energy	-49.8	eV for the cell shown
E_form	-0.716	eV/atom
symmetry	P-4m2

Structure (CIF):
```
data_Dy2Ga4NiPd3
_symmetry_space_group_name_H-M 'P 1'
_symmetry_Int_Tables_number 1
_symmetry_space_group_name_Hall 'P 1'
_cell_length_a 3.991
_cell_length_b 3.991
_cell_length_c 11.391
_cell_angle_alpha 90.00
_cell_angle_beta 90.00
_cell_angle_gamma 90.00
loop_
_atom_site_label
_atom_site_fract_x
_atom_site_fract_y
_atom_site_fract_z
_atom_site_occupancy
Dy1 0.000 0.500 0.245 1
Dy2 0.500 0.000 0.755 1
Ga1 0.000 0.000 0.500 1
Ga2 0.000 0.500 0.870 1
Ga3 0.500 0.000 0.130 1
Ga4 0.500 0.500 0.500 1
Ni1 0.500 0.500 0.000 1
Pd1 0.000 0.000 0.000 1
Pd2 0.000 0.500 0.649 1
Pd3 0.500 0.000 0.351 1
```